No. 1
# Al2RhCl GGA-PBE relaxed
data_Al2RhCl
_chemical_formula_sum 'Al8 Rh4 Cl4'
_space_group_name_H-M_alt 'I -4 2 d'
_space_group_IT_number 122
_space_group_name_Hall 'I -4 2bw'
_cell_length_a 6.291
_cell_length_b 6.291
_cell_length_c 8.604
_cell_angle_alpha 90.00
_cell_angle_beta 90.00
_cell_angle_gamma 90.00
loop_
_atom_site_label
_atom_site_type_symbol
_atom_site_fract_x
_atom_site_fract_y
_atom_site_fract_z
Al1 Al 0.219 0.250 0.125
Rh1 Rh 0.000 0.000 0.000
Cl1 Cl 0.000 0.000 0.500
# * formation energy without anion corrections: -220.2 meV/atom
# * V: 21.3 Å³/atom
# * size of the total moment: 0.00 μB/f.u.

***

No. 2
# Al2RhCl GGA-PBE relaxed
data_Al2RhCl
_chemical_formula_sum 'Al2 Rh1 Cl1'
_space_group_name_H-M_alt 'P 4 m m'
_space_group_IT_number 99
_cell_length_a 4.747
_cell_length_b 4.747
_cell_length_c 2.858
_cell_angle_alpha 90.00
_cell_angle_beta 90.00
_cell_angle_gamma 90.00
loop_
_space_group_symop_operation_xyz
'x,y,z'
'-y,x,z'
'-x,-y,z'
'y,-x,z'
'-x,y,z'
'y,x,z'
'x,-y,z'
'-y,-x,z'
loop_
_atom_site_label
_atom_site_type_symbol
_atom_site_fract_x
_atom_site_fract_y
_atom_site_fract_z
Al1 Al 0.000 0.500 0.000
Rh1 Rh 0.000 0.000 0.481
Cl1 Cl 0.500 0.500 0.881
# * formation energy without anion corrections: -458.7 meV/atom
# * V: 16.1 Å³/atom
# * size of the total moment: 0.00 μB/f.u.

***

No. 3
# Al2RhCl GGA-PBE relaxed
data_Al2RhCl
_chemical_formula_sum 'Al2 Rh1 Cl1'
_space_group_name_H-M_alt 'P 4/m m m'
_space_group_IT_number 123
_space_group_name_Hall '-P 4 2'
_cell_length_a 4.736
_cell_length_b 4.736
_cell_length_c 2.846
_cell_angle_alpha 90.00
_cell_angle_beta 90.00
_cell_angle_gamma 90.00
loop_
_atom_site_label
_atom_site_type_symbol
_atom_site_fract_x
_atom_site_fract_y
_atom_site_fract_z
Al1 Al 0.000 0.500 0.000
Rh1 Rh 0.000 0.000 0.500
Cl1 Cl 0.500 0.500 0.500
# * formation energy without anion corrections: -345.1 meV/atom
# * V: 16.0 Å³/atom
# * size of the total moment: 0.00 μB/f.u.

***

No. 4
# Al2RhCl GGA-PBE relaxed
data_Al2RhCl
_chemical_formula_sum 'Al4 Rh2 Cl2'
_space_group_name_H-M_alt 'I m m m'
_space_group_IT_number 71
_space_group_name_Hall '-I 2 2'
_cell_length_a 3.067
_cell_length_b 5.865
_cell_length_c 8.031
_cell_angle_alpha 90.00
_cell_angle_beta 90.00
_cell_angle_gamma 90.00
loop_
_atom_site_label
_atom_site_type_symbol
_atom_site_fract_x
_atom_site_fract_y
_atom_site_fract_z
Al1 Al 0.000 0.000 0.239
Rh1 Rh 0.000 0.500 0.500
Cl1 Cl 0.000 0.500 0.000
# * formation energy without anion corrections: -120.4 meV/atom
# * V: 18.1 Å³/atom
# * size of the total moment: 0.00 μB/f.u.

***

No. 5
# Al2RhCl GGA-PBE relaxed
data_Al2RhCl
_chemical_formula_sum 'Al8 Rh4 Cl4'
_space_group_name_H-M_alt 'F -4 3 m'
_space_group_IT_number 216
_space_group_name_Hall 'F -4 2 3'
_cell_length_a 6.464
_cell_length_b 6.464
_cell_length_c 6.464
_cell_angle_alpha 90.00
_cell_angle_beta 90.00
_cell_angle_gamma 90.00
loop_
_atom_site_label
_atom_site_type_symbol
_atom_site_fract_x
_atom_site_fract_y
_atom_site_fract_z
Al1 Al 0.000 0.000 0.000
Al2 Al 0.250 0.250 0.250
Rh1 Rh 0.000 0.000 0.500
Cl1 Cl 0.250 0.250 0.750
# * formation energy without anion corrections: 178.0 meV/atom
# * V: 16.9 Å³/atom
# * size of the total moment: 0.00 μB/f.u.

***

No. 6
# Al2RhCl GGA-PBE relaxed
data_Al2RhCl
_chemical_formula_sum 'Al2 Rh1 Cl1'
_space_group_name_H-M_alt 'P 4 m m'
_space_group_IT_number 99
_cell_length_a 3.437
_cell_length_b 3.437
_cell_length_c 7.689
_cell_angle_alpha 90.00
_cell_angle_beta 90.00
_cell_angle_gamma 90.00
loop_
_space_group_symop_operation_xyz
'x,y,z'
'-y,x,z'
'-x,-y,z'
'y,-x,z'
'-x,y,z'
'y,x,z'
'x,-y,z'
'-y,-x,z'
loop_
_atom_site_label
_atom_site_type_symbol
_atom_site_fract_x
_atom_site_fract_y
_atom_site_fract_z
Al1 Al 0.000 0.000 0.000
Al2 Al 0.500 0.500 0.305
Rh1 Rh 0.500 0.500 0.004
Cl1 Cl 0.000 0.000 0.468
# * formation energy without anion corrections: -394.6 meV/atom
# * V: 22.7 Å³/atom
# * size of the total moment: 0.00 μB/f.u.

***

No. 7
# Al2RhCl GGA-PBE relaxed
data_Al2RhCl
_chemical_formula_sum 'Al2 Rh1 Cl1'
_space_group_name_H-M_alt 'P m m m'
_space_group_IT_number 47
_cell_length_a 3.002
_cell_length_b 3.025
_cell_length_c 7.274
_cell_angle_alpha 90.00
_cell_angle_beta 90.00
_cell_angle_gamma 90.00
loop_
_space_group_symop_operation_xyz
'x,y,z'
'-x,-y,-z'
'-x,-y,z'
'x,y,-z'
'x,-y,-z'
'-x,y,z'
'-x,y,-z'
'x,-y,z'
loop_
_atom_site_label
_atom_site_type_symbol
_atom_site_fract_x
_atom_site_fract_y
_atom_site_fract_z
Al1 Al 0.000 0.000 0.204
Rh1 Rh 0.500 0.500 0.000
Cl1 Cl 0.500 0.000 0.500
# * formation energy without anion corrections: -714.6 meV/atom
# * V: 16.5 Å³/atom
# * size of the total moment: 0.00 μB/f.u.

***

No. 8
# Al2RhCl GGA-PBE relaxed
data_Al2RhCl
_chemical_formula_sum 'Al4 Rh2 Cl2'
_space_group_name_H-M_alt 'I -4 m 2'
_space_group_IT_number 119
_space_group_name_Hall 'I -4 -2'
_cell_length_a 3.577
_cell_length_b 3.577
_cell_length_c 11.404
_cell_angle_alpha 90.00
_cell_angle_beta 90.00
_cell_angle_gamma 90.00
loop_
_atom_site_label
_atom_site_type_symbol
_atom_site_fract_x
_atom_site_fract_y
_atom_site_fract_z
Al1 Al 0.000 0.000 0.000
Al2 Al 0.000 0.500 0.250
Rh1 Rh 0.000 0.000 0.500
Cl1 Cl 0.000 0.500 0.750
# * formation energy without anion corrections: 26.4 meV/atom
# * V: 18.2 Å³/atom
# * size of the total moment: 0.00 μB/f.u.